Density functional theory data (PBE) for a geometry-optimized Ac2Dy4Ho structure.

Cell lengths 3.629, 37.539, 3.639 Å; angles 90.00, 90.00, 90.00 degrees
Sites, in units of the cell vectors:
Ac1 0.000 0.204 0.000
Ac2 0.000 0.796 0.000
Ac3 0.500 0.296 0.000
Ac4 0.500 0.704 0.000
Dy1 0.000 0.065 0.000
Dy2 0.000 0.370 0.500
Dy3 0.000 0.630 0.500
Dy4 0.000 0.935 0.000
Dy5 0.500 0.130 0.500
Dy6 0.500 0.435 0.000
Dy7 0.500 0.565 0.000
Dy8 0.500 0.870 0.500
Ho1 0.000 0.500 0.500
Ho2 0.500 0.000 0.500

Its space group is Cmmm, No. 65. As for the volume: 35.42 Å³/atom. The energy of formation comes out at 97 meV per atom. As for the total energy: -0.160 Ha/atom. As for the crystal system: orthorhombic.